# 1
Computed, not measured: a relaxed structure of Re2TcTe at the PBE-GGA level of DFT.

Lattice parameters (Å, degrees): 3.0683 3.0683 6.9676 90.00 90.00 90.00
Last column: nearest neighbours and their distance in Å.
Space group P4mm (No. 99)
Unique sites:
Re: 0.0000 0.0000 0.0000 [1 per cell]  4 Re 2.69, 4 Te 2.90
Re: 0.5000 0.5000 0.2287 [1 per cell]  4 Re 2.69, 4 Tc 2.75
Tc: 0.0000 0.0000 0.4721 [1 per cell]  4 Re 2.75, 4 Te 2.79, 4 Tc 3.07
Te: 0.5000 0.5000 0.7235 [1 per cell]  4 Tc 2.79, 4 Re 2.90, 4 Te 3.07

Summary:
The value obtained for the formation energy without anion corrections is 1.66 eV per formula unit. Its total DFT energy (no corrections) is -9.1869 eV per atom.

# 2
Computed, not measured: a relaxed structure of Hf2HgGe at the PBE-GGA level of DFT.

Lattice parameters (Å, degrees): 6.8419 6.8419 6.8419 90.00 90.00 90.00
Last column: nearest neighbours and their distance in Å.
Space group Fm-3m (No. 225)
Unique sites:
Hf: 0.2500 0.2500 0.2500 [8 per cell]  4 Ge 2.96, 4 Hg 2.96
Hg: 0.0000 0.0000 0.0000 [4 per cell]  8 Hf 2.96
Ge: 0.0000 0.0000 0.5000 [4 per cell]  8 Hf 2.96

Summary:
For the formation energy, the calculation gives -0.102 eV/atom. Its total DFT energy (no corrections) is -6.3086 eV per atom.

# 3
Computed, not measured: a relaxed structure of RbAcPbI6 at the PBE-GGA level of DFT.

Lattice parameters (Å, degrees): 8.0231 8.0231 15.1484 90.00 90.00 90.00
Last column: nearest neighbours and their distance in Å.
Space group P4_2nm (No. 102)
Unique sites:
Rb: 0.0000 0.0000 0.0000 [2 per cell]  6 I 3.62-3.69
Ac: 0.0000 0.0000 0.3339 [2 per cell]  6 I 3.28-3.29
Pb: 0.0000 0.0000 0.6679 [2 per cell]  6 I 3.23-3.31
I: 0.1814 0.1814 0.5034 [4 per cell]  1 Pb 3.23, 1 Ac 3.29, 1 Rb 3.62
I: 0.2107 0.2107 0.1856 [4 per cell]  1 Ac 3.28, 1 Pb 3.29
I: 0.2118 0.2118 0.8184 [4 per cell]  1 Ac 3.28, 1 Pb 3.31, 1 Rb 3.65

Summary:
The value obtained for the formation energy without anion corrections is -10.86 eV per formula unit. Its total DFT energy (no corrections) is -3.2162 eV per atom.

What did the third record say?
Computed, not measured: a relaxed structure of RbAcPbI6 at the PBE-GGA level of DFT.

Lattice parameters (Å, degrees): 8.0231 8.0231 15.1484 90.00 90.00 90.00
Last column: nearest neighbours and their distance in Å.
Space group P4_2nm (No. 102)
Unique sites:
Rb: 0.0000 0.0000 0.0000 [2 per cell]  6 I 3.62-3.69
Ac: 0.0000 0.0000 0.3339 [2 per cell]  6 I 3.28-3.29
Pb: 0.0000 0.0000 0.6679 [2 per cell]  6 I 3.23-3.31
I: 0.1814 0.1814 0.5034 [4 per cell]  1 Pb 3.23, 1 Ac 3.29, 1 Rb 3.62
I: 0.2107 0.2107 0.1856 [4 per cell]  1 Ac 3.28, 1 Pb 3.29
I: 0.2118 0.2118 0.8184 [4 per cell]  1 Ac 3.28, 1 Pb 3.31, 1 Rb 3.65

Summary:
The value obtained for the formation energy without anion corrections is -10.86 eV per formula unit. Its total DFT energy (no corrections) is -3.2162 eV per atom.

> Which of these has the lowest total DFT energy (no corrections)?

Re2TcTe